[1]
Density functional theory data (PBE) for a relaxed MgSiB2C crystal.

a = 3.8032 Å, b = 3.8032 Å, c = 5.4051 Å
α = 90.00°, β = 90.00°, γ = 90.00°
Sites, in units of the cell vectors:
Mg1 0.0000 0.0000 0.0000
Si1 0.0000 0.0000 0.5000
B1 0.0000 0.5000 0.5000
B2 0.5000 0.0000 0.5000
C1 0.5000 0.5000 0.0000

Summary:
Fermi-level density of states: 2.2 states/eV/f.u.
ΔE to the lowest computed polymorph: 0 meV per atom
Density: 1.8 g/cm³
Calculated total energy: -3.90 eV per atom
ΔE_f (raw): 2.022 eV per atom

=====

[2]
Density functional theory data (PBE) for a relaxed MgTa2BC crystal.

a = 4.2210 Å, b = 4.2210 Å, c = 3.9951 Å
α = 90.00°, β = 90.00°, γ = 90.00°
Sites, in units of the cell vectors:
Mg1 0.0000 0.0000 0.0000
Ta1 0.0000 0.5000 0.5000
Ta2 0.5000 0.0000 0.5000
B1 0.5000 0.5000 0.0000
C1 0.0000 0.0000 0.5000

Summary:
Fermi-level density of states: 3.0 states/eV/f.u.
Energy relative to the elements: 0.52 eV/atom
Density: 9.5 g/cm³
Calculated total energy: -7.72 eV per atom

=====

[3]
Density functional theory data (PBE) for a relaxed MgZrBC2 crystal.

a = 3.7855 Å, b = 3.7855 Å, c = 3.9639 Å
α = 90.00°, β = 90.00°, γ = 90.00°
Sites, in units of the cell vectors:
Mg1 0.0000 0.0000 0.0000
Zr1 0.5000 0.5000 0.0000
B1 0.0000 0.0000 0.5000
C1 0.0000 0.5000 0.5000
C2 0.5000 0.0000 0.5000

Summary:
Fermi-level density of states: 3.1 states/eV/f.u.
Energy relative to the elements: 1.70 eV/atom
Density: 4.4 g/cm³
Calculated total energy: -5.35 eV per atom

=====

[4]
Density functional theory data (PBE) for a relaxed Mn23B3C3 crystal.

a = 7.3918 Å, b = 7.3918 Å, c = 7.3918 Å
α = 60.00°, β = 60.00°, γ = 60.00°
Sites, in units of the cell vectors:
Mn1 0.0000 0.0000 0.0000
Mn2 0.0328 0.3771 0.3771
Mn3 0.0372 0.3851 0.7173
Mn4 0.0372 0.7173 0.3851
Mn5 0.1308 0.1308 0.1308
Mn6 0.2376 0.7581 0.7581
Mn7 0.3712 0.3712 0.3712
Mn8 0.3771 0.0328 0.3771
Mn9 0.3771 0.3771 0.0328
Mn10 0.3774 0.3774 0.7130
Mn11 0.3774 0.7130 0.3774
Mn12 0.3851 0.0372 0.7173
Mn13 0.3851 0.7173 0.0372
Mn14 0.5237 0.9960 0.9960
Mn15 0.6303 0.6303 0.6303
Mn16 0.7130 0.3774 0.3774
Mn17 0.7173 0.0372 0.3851
Mn18 0.7173 0.3851 0.0372
Mn19 0.7581 0.2376 0.7581
Mn20 0.7581 0.7581 0.2376
Mn21 0.7613 0.7613 0.7613
Mn22 0.9960 0.5237 0.9960
Mn23 0.9960 0.9960 0.5237
B1 0.1065 0.1065 0.6530
B2 0.1065 0.6530 0.1065
B3 0.6530 0.1065 0.1065
C1 0.1032 0.6563 0.6563
C2 0.6563 0.1032 0.6563
C3 0.6563 0.6563 0.1032

Summary:
Fermi-level density of states: 32.7 states/eV/f.u.
Energy relative to the elements: -0.15 eV/atom
Density: 7.7 g/cm³
Calculated total energy: -9.07 eV per atom

=====

[5]
Density functional theory data (PBE) for a relaxed MnBC3 crystal.

a = 3.7351 Å, b = 3.7351 Å, c = 3.7351 Å
α = 90.00°, β = 90.00°, γ = 90.00°
Sites, in units of the cell vectors:
Mn1 0.0000 0.0000 0.0000
B1 0.5000 0.5000 0.5000
C1 0.0000 0.0000 0.5000
C2 0.0000 0.5000 0.0000
C3 0.5000 0.0000 0.0000

Summary:
Fermi-level density of states: 3.9 states/eV/f.u.
ΔE to the lowest computed polymorph: 241 meV per atom
Energy relative to the elements: 2.56 eV/atom
Density: 3.2 g/cm³
Calculated total energy: -6.15 eV per atom

=====

[6]
Density functional theory data (PBE) for a relaxed Mn23B2C4 crystal.

a = 7.3827 Å, b = 7.3827 Å, c = 7.3827 Å
α = 120.16°, β = 89.74°, γ = 120.14°
Sites, in units of the cell vectors:
Mn1 0.0000 0.0000 0.0000
Mn2 0.0336 0.4130 0.6206
Mn3 0.0343 0.4166 0.1448
Mn4 0.0343 0.8894 0.6177
Mn5 0.2693 0.8864 0.3828
Mn6 0.2718 0.4166 0.3823
Mn7 0.2718 0.8894 0.8552
Mn8 0.3175 0.3167 0.6633
Mn9 0.3175 0.6542 0.0008
Mn10 0.3188 0.3188 0.0000
Mn11 0.3982 0.1482 0.2499
Mn12 0.5036 0.8864 0.6172
Mn13 0.6461 0.3058 0.6597
Mn14 0.6461 0.9865 0.3403
Mn15 0.6476 0.6544 0.6592
Mn16 0.6476 0.9885 0.9933
Mn17 0.6533 0.3167 0.9992
Mn18 0.6533 0.6542 0.3367
Mn19 0.6678 0.6678 0.0000
Mn20 0.7924 0.4130 0.3794
Mn21 0.8983 0.1482 0.7501
Mn22 0.9952 0.6544 0.0067
Mn23 0.9952 0.9885 0.3408
B1 0.9216 0.1938 0.2723
B2 0.9216 0.6493 0.7277
C1 0.3718 0.6491 0.7227
C2 0.3737 0.0981 0.7244
C3 0.3737 0.6493 0.2756
C4 0.9264 0.6491 0.2773

Summary:
Fermi-level density of states: 32.4 states/eV/f.u.
Energy relative to the elements: -0.13 eV/atom
Density: 7.8 g/cm³
Calculated total energy: -9.13 eV per atom

=====

[7]
Density functional theory data (PBE) for a relaxed MnBC3 crystal.

a = 3.3753 Å, b = 3.3753 Å, c = 3.3753 Å
α = 90.00°, β = 90.00°, γ = 90.00°
Sites, in units of the cell vectors:
Mn1 0.0000 0.0000 0.0000
B1 0.5000 0.5000 0.5000
C1 0.0000 0.5000 0.5000
C2 0.5000 0.0000 0.5000
C3 0.5000 0.5000 0.0000

Summary:
Fermi-level density of states: 3.6 states/eV/f.u.
ΔE to the lowest computed polymorph: 0 meV per atom
Energy relative to the elements: 2.32 eV/atom
Density: 4.4 g/cm³
Calculated total energy: -6.39 eV per atom

=====

[8]
Density functional theory data (PBE) for a relaxed MnBC2 crystal.

a = 4.1470 Å, b = 4.1470 Å, c = 8.0856 Å
α = 90.00°, β = 90.00°, γ = 90.00°
Sites, in units of the cell vectors:
Mn1 0.0000 0.0000 0.0000
Mn2 0.0000 0.5000 0.2500
Mn3 0.5000 0.0000 0.7500
Mn4 0.5000 0.5000 0.5000
B1 0.0000 0.0000 0.5000
B2 0.0000 0.5000 0.7500
B3 0.5000 0.0000 0.2500
B4 0.5000 0.5000 0.0000
C1 0.2036 0.2500 0.6250
C2 0.2500 0.7036 0.8750
C3 0.2500 0.7964 0.3750
C4 0.2964 0.2500 0.1250
C5 0.7036 0.7500 0.1250
C6 0.7500 0.2036 0.3750
C7 0.7500 0.2964 0.8750
C8 0.7964 0.7500 0.6250

Summary:
Fermi-level density of states: 0.9 states/eV/f.u.
Energy relative to the elements: 0.57 eV/atom
Density: 4.3 g/cm³
Calculated total energy: -8.01 eV per atom

=====

[9]
Density functional theory data (PBE) for a relaxed Mn2NbBC crystal.

a = 4.5765 Å, b = 4.5765 Å, c = 4.0255 Å
α = 90.00°, β = 90.00°, γ = 90.00°
Sites, in units of the cell vectors:
Mn1 0.0000 0.5000 0.0000
Mn2 0.5000 0.0000 0.0000
Nb1 0.0000 0.0000 0.0000
B1 0.5000 0.5000 0.5000
C1 0.0000 0.0000 0.5000

Summary:
Fermi-level density of states: 7.5 states/eV/f.u.
Energy relative to the elements: 2.74 eV/atom
Density: 4.4 g/cm³
Calculated total energy: -6.12 eV per atom

=====

[10]
Density functional theory data (PBE) for a relaxed ScMn2BC crystal.

a = 5.2086 Å, b = 5.2086 Å, c = 6.4977 Å
α = 90.00°, β = 90.00°, γ = 142.57°
Sites, in units of the cell vectors:
Sc1 0.0405 0.9595 0.7500
Sc2 0.9595 0.0405 0.2500
Mn1 0.3205 0.6795 0.5628
Mn2 0.3205 0.6795 0.9372
Mn3 0.6795 0.3205 0.0628
Mn4 0.6795 0.3205 0.4372
B1 0.2365 0.7635 0.2500
B2 0.7635 0.2365 0.7500
C1 0.5000 0.5000 0.0000
C2 0.5000 0.5000 0.5000

Summary:
Fermi-level density of states: 3.7 states/eV/f.u.
Energy relative to the elements: -0.45 eV/atom
Density: 5.5 g/cm³
Calculated total energy: -8.56 eV per atom

=====

Among the records above, which one has the lowest calculated total energy? Mn23B2C4